Density functional theory data (GGA-PBE) for crystalline Li2Pd4Pb3 at its relaxed geometry.

Geometry as POSCAR:
```
Li2Pd4Pb3
1.0
4.2155 0.0042 -0.0006
2.1108 4.5773 0.7646
-0.0039 0.9992 8.8057
Pd Pb Li
4 3 2
Direct
0.3364 0.3271 0.0963
0.6636 0.6729 0.9037
0.0071 0.9862 0.3258
0.9929 0.0138 0.6742
0.3333 0.3332 0.4117
0.0000 0.0000 0.0000
0.6667 0.6668 0.5883
0.3350 0.3290 0.7902
0.6650 0.6710 0.2098
```

Values from the calculation:
Formation energy = -0.325 eV per atom
Offset from the most stable computed form = 0.00 eV/f.u.
Size of the total moment = 0.0 μB per cell